## Tb2PmDy2Ho (GGA-PBE)

Data for Tb2PmDy2Ho after structural relaxation.

Cell: 3.500 16.192 6.939 Å, 90.00 90.00 90.00°
Atoms (fractional coordinates):
Tb  0.500  0.843  0.749
Tb  0.500  0.157  0.251
Tb  0.000  0.657  0.249
Tb  0.000  0.343  0.751
Dy  0.000  0.656  0.750
Dy  0.500  0.156  0.750
Dy  0.500  0.844  0.250
Dy  0.000  0.344  0.250
Ho  0.500  0.500  0.000
Ho  0.000  0.000  0.500
Pm  0.500  0.500  0.500
Pm  0.000  0.000  0.000

## Properties
crystal system: orthorhombic
energy relative to the elements: 158 meV per atom
M_tot: 0.02 μB/cell
E: -0.329 Ry per atom



## Cr3GeBr (GGA-PBE)

Data for Cr3GeBr after structural relaxation.

Cell: 4.913 4.913 4.913 Å, 90.00 90.00 90.00°
Atoms (fractional coordinates):
Br  0.500  0.500  0.500
Ge  0.000  0.000  0.000
Cr  0.500  0.000  0.000
Cr  0.000  0.500  0.000
Cr  0.000  0.000  0.500

## Properties
crystal system: cubic
M_tot: 12.99 μB/cell
distance to the lowest polymorph of the same formula: 0.0000 eV per atom
energy relative to the elements, uncorrected: 0.768 eV/atom
E: -0.460 Ry per atom